# 1
GaNiSn3 | PBE-GGA | relaxed

Fermi-level density of states: 4.558 states/eV per cell
Energy above the lowest structure with this stoichiometry: 0 meV/atom
ΔH_f (0 K): 0.65 eV per formula unit

Lattice parameters (Å, degrees): 5.007 5.007 5.007 90.00 90.00 90.00
Positions (direct):
Ni 0.000 0.000 0.000
Sn 0.000 0.500 0.000
Sn 0.000 0.000 0.500
Sn 0.500 0.000 0.000
Ga 0.500 0.500 0.500


# 2
Hf4CoAs2 | PBE-GGA | relaxed

Fermi-level density of states: 7.190 states/eV per cell
ΔH_f (0 K): -3.68 eV per formula unit

Lattice parameters (Å, degrees): 3.663 6.698 6.615 117.58 106.07 90.00
Positions (direct):
Hf 0.885 0.247 0.769
Hf 0.115 0.753 0.231
Hf 0.605 0.333 0.211
Hf 0.395 0.667 0.789
Co 0.000 0.000 0.000
As 0.778 0.787 0.557
As 0.222 0.213 0.443


# 3
NaCoAs2 | PBE-GGA | relaxed

Fermi-level density of states: 6.285 states/eV per cell
Energy above the lowest structure with this stoichiometry: 234 meV/atom
ΔH_f (0 K): 0.05 eV per formula unit

Lattice parameters (Å, degrees): 6.660 6.660 6.342 58.32 58.32 90.00
Positions (direct):
Na 0.500 0.500 0.000
Na 0.250 0.750 0.500
As 0.722 0.125 0.250
As 0.028 0.625 0.250
As 0.375 0.278 0.750
As 0.875 0.972 0.750
Co 0.000 0.000 0.000
Co 0.750 0.250 0.500


# 4
Y2Lu | PBE-GGA | relaxed

Fermi-level density of states: 8.261 states/eV per cell
ΔH_f (0 K): 0.83 eV per formula unit

Lattice parameters (Å, degrees): 6.534 6.534 6.534 60.00 60.00 60.00
Positions (direct):
Y 0.125 0.625 0.625
Y 0.625 0.125 0.625
Y 0.625 0.625 0.625
Y 0.625 0.625 0.125
Lu 0.000 0.000 0.000
Lu 0.250 0.250 0.250


# 5
InHg2S | PBE-GGA | relaxed

Fermi-level density of states: 2.171 states/eV per cell
Formation energy (no corrections): -0.02 eV per atom

Lattice parameters (Å, degrees): 7.959 7.959 6.406 51.59 51.59 90.00
Positions (direct):
S 0.500 0.500 0.000
S 0.250 0.750 0.500
Hg 0.603 0.125 0.250
Hg 0.147 0.625 0.250
Hg 0.375 0.397 0.750
Hg 0.875 0.853 0.750
In 0.000 0.000 0.000
In 0.750 0.250 0.500


# 6
Ba2ThTe2S2 | PBE-GGA | relaxed

Formation energy (no corrections): -1.82 eV per atom

Lattice parameters (Å, degrees): 5.390 5.390 9.742 106.06 106.06 90.00
Positions (direct):
Ba 0.366 0.366 0.732
Ba 0.634 0.634 0.268
Th 0.000 0.000 0.000
Te 0.174 0.174 0.347
Te 0.826 0.826 0.653
S 0.000 0.500 0.000
S 0.500 0.000 0.000


# 7
K5Te2S5 | PBE-GGA | relaxed

Fermi-level density of states: 4.909 states/eV per cell
Formation energy (no corrections): -0.63 eV per atom

Lattice parameters (Å, degrees): 4.446 8.025 11.223 102.17 90.00 106.08
Each line ends with the local moment (μB).
Positions (direct):
K 0.500 0.000 0.500  0.00
K 0.648 0.296 0.071  0.00
K 0.770 0.541 0.364  0.00
K 0.230 0.459 0.636  0.00
K 0.352 0.704 0.929  0.00
Te 0.035 0.070 0.771  0.12
Te 0.965 0.930 0.229  0.12
S 0.116 0.232 0.363  0.02
S 0.666 0.332 0.801  0.11
S 0.334 0.668 0.199  0.11
S 0.884 0.768 0.637  0.02
S 0.000 0.000 0.000  -0.01


# 8
Pm2Zn16Pd | PBE-GGA | relaxed

Fermi-level density of states: 6.961 states/eV per cell
ΔH_f (0 K): -5.74 eV per formula unit

Lattice parameters (Å, degrees): 6.831 6.831 6.831 82.76 82.76 82.76
Positions (direct):
Pm 0.665 0.665 0.665
Pm 0.338 0.338 0.338
Zn 0.708 0.999 0.290
Zn 0.999 0.290 0.708
Zn 0.290 0.708 0.999
Zn 0.999 0.708 0.290
Zn 0.708 0.290 0.999
Zn 0.290 0.999 0.708
Zn 0.353 0.838 0.353
Zn 0.838 0.353 0.353
Zn 0.353 0.353 0.838
Zn 0.651 0.157 0.651
Zn 0.157 0.651 0.651
Zn 0.651 0.651 0.157
Zn 0.998 0.503 0.998
Zn 0.503 0.998 0.998
Zn 0.998 0.998 0.503
Zn 0.102 0.102 0.102
Pd 0.902 0.902 0.902


no.,DFT total energy (eV/f.u.)
1,-20.17
2,-59.90
3,-17.68
4,-16.62
5,-7.56
6,-38.54
7,-39.97
8,-40.82